(1)
First-principles (PBEsol) data for crystalline U3Co3Sb4 at its relaxed geometry, as listed in the Alexandria database.

a = 7.9210 Å, b = 7.9210 Å, c = 7.9210 Å
α = 109.47°, β = 109.47°, γ = 109.47°
Sites, in units of the cell vectors:
U 0.1250 0.7500 0.8750
U 0.2500 0.6250 0.3750
U 0.3750 0.2500 0.6250
U 0.6250 0.3750 0.2500
U 0.7500 0.8750 0.1250
U 0.8750 0.1250 0.7500
Co 0.1250 0.8750 0.2500
Co 0.2500 0.1250 0.8750
Co 0.3750 0.6250 0.7500
Co 0.6250 0.7500 0.3750
Co 0.7500 0.3750 0.6250
Co 0.8750 0.2500 0.1250
Sb 0.0000 0.3334 0.5000
Sb 0.0000 0.8334 0.5000
Sb 0.1666 0.1666 0.1666
Sb 0.3334 0.5000 0.0000
Sb 0.5000 0.0000 0.3334
Sb 0.5000 0.0000 0.8334
Sb 0.6666 0.6666 0.6666
Sb 0.8334 0.5000 0.0000

Results
As for the space group: I-43d, No. 220.

***

(2)
First-principles (PBEsol) data for crystalline CoSbW at its relaxed geometry, as listed in the Alexandria database.

a = 4.1352 Å, b = 4.1352 Å, c = 4.1352 Å
α = 60.00°, β = 60.00°, γ = 60.00°
Sites, in units of the cell vectors:
Co 0.0000 0.0000 0.0000
Sb 0.7500 0.7500 0.7500
W 0.2500 0.2500 0.2500

Results
As for the space group: F-43m, No. 216.

***

Number 1: formation energy without anion corrections -389.8 meV/atom, calculated volume 382.6 Å³ per cell, final energy -8.18 eV per atom. Number 2: formation energy without anion corrections 389.1 meV/atom, calculated volume 50.0 Å³ per cell, final energy -8.31 eV per atom.